<one>
# La2BeSe

A PBEsol-optimized structure of La2BeSe (SCAN, the Alexandria database).

The space group is F-43m (No. 216) and the conventional cell measures 7.1243, 7.1243 and 7.1243 Å, with angles of 90.00, 90.00 and 90.00 degrees. The asymmetric unit holds La at (0.0000, 0.0000, 0.0000), La at (0.2500, 0.2500, 0.2500), Be at (0.2500, 0.2500, 0.7500) and Se at (0.0000, 0.0000, 0.5000).

<two>
# La2BeSe

A PBEsol-optimized structure of La2BeSe (SCAN, the Alexandria database).

The space group is Cmmm (No. 65) and the conventional cell measures 6.8367, 7.7299 and 3.5438 Å, with angles of 90.00, 90.00 and 90.00 degrees. The asymmetric unit holds La at (0.2500, 0.2500, 0.0000), Be at (0.0000, 0.0000, 0.5000) and Se at (0.0000, 0.5000, 0.5000).

Sorted by energy, starting with the most stable: <two>, <one>.

<one>
# SrLaBe2

A PBEsol-optimized structure of SrLaBe2 (SCAN, the Alexandria database).

The space group is Fm-3m (No. 225) and the conventional cell measures 7.2475, 7.2475 and 7.2475 Å, with angles of 90.00, 90.00 and 90.00 degrees. The asymmetric unit holds Sr at (0.0000, 0.0000, 0.0000), La at (0.0000, 0.0000, 0.5000) and Be at (0.2500, 0.2500, 0.2500).

<two>
# SrLaBe2

A PBEsol-optimized structure of SrLaBe2 (SCAN, the Alexandria database).

The space group is P4mm (No. 99) and the conventional cell measures 3.1560, 3.1560 and 8.8821 Å, with angles of 90.00, 90.00 and 90.00 degrees. The asymmetric unit holds Sr at (0.0000, 0.0000, 0.0000), La at (0.5000, 0.5000, 0.6038), Be at (0.0000, 0.0000, 0.3529) and Be at (0.5000, 0.5000, 0.2618).

Sorted by energy, starting with the most stable: <one>, <two>.

<one>
# La2BeTe

A PBEsol-optimized structure of La2BeTe (SCAN, the Alexandria database).

The space group is I4/mmm (No. 139) and the conventional cell measures 5.6056, 5.6056 and 6.6679 Å, with angles of 90.00, 90.00 and 90.00 degrees. The asymmetric unit holds La at (0.0000, 0.5000, 0.2500), Be at (0.0000, 0.0000, 0.0000) and Te at (0.0000, 0.0000, 0.5000).

<two>
# La2BeTe

A PBEsol-optimized structure of La2BeTe (SCAN, the Alexandria database).

The space group is P4mm (No. 99) and the conventional cell measures 3.5657, 3.5657 and 8.4802 Å, with angles of 90.00, 90.00 and 90.00 degrees. The asymmetric unit holds La at (0.0000, 0.0000, 0.0000), La at (0.5000, 0.5000, 0.3780), Be at (0.0000, 0.0000, 0.6194) and Te at (0.5000, 0.5000, 0.7479).

Sorted by energy, starting with the most stable: <one>, <two>.

<one>
# LaBe2W

A PBEsol-optimized structure of LaBe2W (SCAN, the Alexandria database).

The space group is Imm2 (No. 44) and the conventional cell measures 2.7309, 4.9399 and 9.3141 Å, with angles of 90.00, 90.00 and 90.00 degrees. The asymmetric unit holds La at (0.0000, 0.0000, 0.0000), Be at (0.0000, 0.0000, 0.5199), Be at (0.0000, 0.5000, 0.2169) and W at (0.0000, 0.5000, 0.7882).

<two>
# LaBe2W

A PBEsol-optimized structure of LaBe2W (SCAN, the Alexandria database).

The space group is I4_1/amd (No. 141, origin choice 2) and the conventional cell measures 4.2206, 4.2206 and 16.7742 Å, with angles of 90.00, 90.00 and 90.00 degrees. The asymmetric unit holds La at (0.0000, 0.2500, 0.3750), Be at (0.0000, 0.0000, 0.0000) and W at (0.0000, 0.2500, 0.8750).

Sorted by energy, starting with the most stable: <two>, <one>.

<one>
# La2BeZn

A PBEsol-optimized structure of La2BeZn (SCAN, the Alexandria database).

The space group is Pmm2 (No. 25) and the conventional cell measures 3.5971, 4.7768 and 5.2750 Å, with angles of 90.00, 90.00 and 90.00 degrees. The asymmetric unit holds La at (0.0000, 0.0000, 0.0000), La at (0.0000, 0.5000, 0.3863), Be at (0.5000, 0.0000, 0.5342) and Zn at (0.5000, 0.5000, 0.8494).

<two>
# La2BeZn

A PBEsol-optimized structure of La2BeZn (SCAN, the Alexandria database).

The space group is R-3m (No. 166, hexagonal axes) and the conventional cell measures 3.6331, 3.6331 and 26.8121 Å, with angles of 90.00, 90.00 and 120.00 degrees. The asymmetric unit holds La at (0.0000, 0.0000, 0.2446), Be at (0.0000, 0.0000, 0.5000) and Zn at (0.0000, 0.0000, 0.0000).

Sorted by energy, starting with the most stable: <one>, <two>.

<one>
# LiBe2

A PBEsol-optimized structure of LiBe2 (SCAN, the Alexandria database).

The space group is I4/mmm (No. 139) and the conventional cell measures 2.6504, 2.6504 and 8.3968 Å, with angles of 90.00, 90.00 and 90.00 degrees. The asymmetric unit holds Li at (0.0000, 0.0000, 0.0000) and Be at (0.0000, 0.0000, 0.3092).

<two>
# LiBe2

A PBEsol-optimized structure of LiBe2 (SCAN, the Alexandria database).

The space group is P-3m1 (No. 164) and the conventional cell measures 2.3237, 2.3237 and 6.0974 Å, with angles of 90.00, 90.00 and 120.00 degrees. The asymmetric unit holds Li at (0.0000, 0.0000, 0.0000) and Be at (0.3333, 0.6667, 0.3507).

Sorted by energy, starting with the most stable: <one>, <two>.